(1)
Below is crystalline Sc4Os at its relaxed geometry, with properties calculated at the PBE level.

a b c (Å): 9.1341 9.1341 9.1341
angles (deg): 157.57 157.57 31.93
Sites, in units of the cell vectors:
Sc  0.2500  0.7500  0.5000
Sc  0.4175  0.4175  0.0000
Sc  0.5825  0.5825  0.0000
Sc  0.7500  0.2500  0.5000
Os  0.0000  0.0000  0.0000

Properties
The magnetization is 0.0 μB per cell. The excess energy over the best structure of this formula in the dataset is 638 meV/atom. The theoretical density is 5.5 g cm⁻³.

(2)
Below is crystalline Er5Hg12Ge3 at its relaxed geometry, with properties calculated at the PBE level.

a b c (Å): 14.6605 14.6605 14.6605
angles (deg): 109.47 109.47 109.47
Sites, in units of the cell vectors:
Hg  0.3898  0.2585  0.3316
Hg  0.9417  0.8316  0.5731
Hg  0.3316  0.7585  0.3898
Hg  0.8898  0.0583  0.6314
Hg  0.6314  0.5583  0.8898
Hg  0.6684  0.2415  0.6102
Hg  0.8686  0.6102  0.9417
Er  0.3750  0.1250  0.7500
Hg  0.0583  0.8898  0.1314
Hg  0.1314  0.3898  0.0583
Hg  0.6102  0.7415  0.6684
Hg  0.0583  0.1684  0.4269
Hg  0.1102  0.1684  0.2415
Hg  0.9417  0.1102  0.8686
Ge  0.3750  0.6250  0.2500
Ge  0.3750  0.7500  0.6250
Hg  0.4269  0.7585  0.8686
Hg  0.2585  0.3898  0.8316
Er  0.5000  0.5000  0.5000
Hg  0.1102  0.9417  0.3686
Er  0.7500  0.6250  0.3750
Ge  0.1250  0.2500  0.8750
Ge  0.8750  0.1250  0.2500
Er  0.7500  0.1250  0.8750
Hg  0.7415  0.1314  0.0731
Hg  0.5731  0.3316  0.9417
Hg  0.1314  0.7415  0.5731
Er  0.3750  0.2500  0.1250
Er  0.6250  0.7500  0.8750
Hg  0.3898  0.1314  0.5583
Ge  0.7500  0.8750  0.6250
Er  0.2500  0.8750  0.1250
Hg  0.1684  0.0583  0.9269
Hg  0.3686  0.9269  0.7585
Ge  0.2500  0.6250  0.8750
Hg  0.7585  0.4269  0.3686
Er  0.1250  0.3750  0.2500
Er  0.0000  0.5000  0.5000
Er  0.0000  0.0000  0.5000
Hg  0.8686  0.2585  0.4269
Hg  0.8316  0.9417  0.0731
Er  0.5000  0.5000  0.0000
Hg  0.4417  0.3686  0.6102
Hg  0.7585  0.3316  0.8898
Hg  0.6102  0.8686  0.4417
Er  0.2500  0.3750  0.6250
Er  0.6250  0.8750  0.2500
Hg  0.7415  0.6102  0.1684
Hg  0.8898  0.8316  0.7585
Hg  0.6314  0.0731  0.2415
Hg  0.3316  0.5731  0.4417
Hg  0.5731  0.2415  0.1314
Hg  0.3686  0.4417  0.1102
Ge  0.6250  0.2500  0.3750
Hg  0.9269  0.3686  0.2585
Hg  0.4417  0.0731  0.3316
Hg  0.4269  0.6684  0.0583
Ge  0.8750  0.7500  0.1250
Er  0.5000  0.0000  0.5000
Ge  0.6250  0.3750  0.7500
Er  0.8750  0.2500  0.6250
Hg  0.5583  0.6314  0.3898
Hg  0.1684  0.1102  0.7415
Hg  0.2585  0.8686  0.9269
Er  0.0000  0.0000  0.0000
Hg  0.8316  0.8898  0.2585
Er  0.0000  0.5000  0.0000
Er  0.1250  0.7500  0.3750
Er  0.8750  0.6250  0.7500
Hg  0.2415  0.5731  0.6314
Ge  0.7500  0.3750  0.1250
Hg  0.2415  0.6684  0.1102
Hg  0.5583  0.9269  0.6684
Ge  0.2500  0.1250  0.3750
Hg  0.6684  0.4269  0.5583
Er  0.5000  0.0000  0.0000
Ge  0.1250  0.8750  0.7500
Hg  0.0731  0.6314  0.7415
Hg  0.0731  0.4417  0.8316
Hg  0.9269  0.5583  0.1684

Properties
The magnetization is 0.0 μB per cell. The theoretical density is 9.5 g cm⁻³.

(3)
Below is crystalline AlRhPb2 at its relaxed geometry, with properties calculated at the PBE level.

a b c (Å): 4.9484 4.9484 5.7092
angles (deg): 76.08 76.08 41.29
Sites, in units of the cell vectors:
Al  0.2500  0.2500  0.2500
Pb  0.4880  0.4880  0.5150
Rh  0.7500  0.7500  0.7500
Pb  0.0120  0.0120  0.9850

Properties
The magnetization is 0.0 μB per cell. The theoretical density is 10.1 g cm⁻³.

(4)
Below is crystalline Sc3Se2 at its relaxed geometry, with properties calculated at the PBE level.

a b c (Å): 6.5253 6.5253 7.2536
angles (deg): 63.27 63.27 60.00
Sites, in units of the cell vectors:
Sc  0.9260  0.2500  0.2500
Se  0.6597  0.6597  0.0208
Sc  0.5740  0.9260  0.2500
Sc  0.0740  0.7500  0.7500
Sc  0.2500  0.5740  0.2500
Se  0.1597  0.1597  0.5208
Se  0.3403  0.3403  0.9792
Sc  0.7500  0.4260  0.7500
Se  0.8403  0.8403  0.4792
Sc  0.4260  0.0740  0.7500

Properties
The magnetization is 0.0 μB per cell. The excess energy over the best structure of this formula in the dataset is 155 meV/atom. The theoretical density is 4.3 g cm⁻³.

| no. | electronic total energy (Ry per atom) |
| --- | --- |
| 1 | -0.5026 |
| 2 | -0.1373 |
| 3 | -0.3241 |
| 4 | -0.4659 |